Material: Ti2SiRu2
Method: DFT, PBE-GGA
State: relaxed

```
data_Ti2SiRu2
_cell_length_a 6.938
_cell_length_b 6.938
_cell_length_c 3.166
_cell_angle_alpha 90.00
_cell_angle_beta 90.00
_cell_angle_gamma 90.00
_space_group_name_H-M_alt 'P 4/m b m'
_space_group_IT_number 127
_space_group_name_Hall '-P 4 2ab'
loop_
_atom_site_label
_atom_site_type_symbol
_atom_site_fract_x
_atom_site_fract_y
_atom_site_fract_z
Ti1 Ti 0.162 0.338 0.000
Si1 Si 0.000 0.000 0.500
Ru1 Ru 0.144 0.644 0.500
```

Results
The raw formation energy comes out at -0.319 eV per atom. For the density of states at the Fermi level, the calculation gives 12.7 states/eV per cell. Its spin magnetization is 0.00 μB per atom.